1.
# PBE-GGA BaLaBiI, relaxed
data_BaLaBiI
_chemical_formula_sum 'Ba6 La6 Bi6 I6'
_symmetry_space_group_name_H-M 'R -3 m'
_symmetry_Int_Tables_number 166
_symmetry_space_group_name_Hall '-R 3 2"'
_cell_length_a 5.2605
_cell_length_b 5.2605
_cell_length_c 47.6937
_cell_angle_alpha 90.00
_cell_angle_beta 90.00
_cell_angle_gamma 120.00
loop_
_atom_site_label
_atom_site_type_symbol
_atom_site_fract_x
_atom_site_fract_y
_atom_site_fract_z
Ba1 Ba 0.0000 0.0000 0.0950
La1 La 0.0000 0.0000 0.3093
Bi1 Bi 0.0000 0.0000 0.3832
I1 I 0.0000 0.0000 0.2029
# Total magnetic moment ... 0.9 μB/f.u.
# Energy relative to the lowest polymorph listed for this composition ... 0.0 kJ/mol of atoms
# Density ... 5.3 g cm⁻³
# Raw formation energy ... -1.1001 eV/atom

2.
# PBE-GGA AgGeI5, relaxed
data_AgGeI5
_chemical_formula_sum 'Ag2 Ge2 I10'
_symmetry_space_group_name_H-M 'P 1'
_symmetry_Int_Tables_number 1
_cell_length_a 9.036
_cell_length_b 9.759
_cell_length_c 9.769
_cell_angle_alpha 100.87
_cell_angle_beta 109.19
_cell_angle_gamma 109.20
loop_
_symmetry_equiv_pos_as_xyz
'x,y,z'
loop_
_atom_site_label
_atom_site_type_symbol
_atom_site_fract_x
_atom_site_fract_y
_atom_site_fract_z
Ag1 Ag 0.000 0.000 0.000
Ag2 Ag 0.500 0.143 0.857
Ge1 Ge 0.243 0.369 0.527
Ge2 Ge 0.744 0.671 0.226
I1 I 0.038 0.286 0.652
I2 I 0.062 0.277 0.231
I3 I 0.243 0.937 0.911
I4 I 0.438 0.221 0.574
I5 I 0.439 0.655 0.627
I6 I 0.539 0.797 0.143
I7 I 0.562 0.374 0.134
I8 I 0.744 0.055 0.794
I9 I 0.939 0.717 0.079
I10 I 0.939 0.770 0.512
# Total magnetic moment ... 0.0 μB/f.u.
# Density ... 3.7 g cm⁻³
# Raw formation energy ... -0.2351 eV/atom